<A>
# Sr2TiF

A geometry-optimized Sr2TiF structure (PBE, the Alexandria database).

size of the total moment	3.6	μB per formula unit
D(E_F)	15.48	states/eV per cell
space-group type	I-42d
V	32.131	A^3/atom

a b c (Å): 7.667 7.667 6.965
angles (deg): 56.61 56.61 90.00
Fractional coordinates of all 8 atoms:
Sr 0.375 0.484 0.750
Sr 0.875 0.766 0.750
F 0.500 0.500 0.000
Sr 0.234 0.625 0.250
Ti 0.000 0.000 0.000
F 0.250 0.750 0.500
Sr 0.516 0.125 0.250
Ti 0.750 0.250 0.500


<B>
# Sr2TiF

A geometry-optimized Sr2TiF structure (PBE, the Alexandria database).

size of the total moment	4.7	μB per formula unit
D(E_F)	6.69	states/eV per cell
space-group type	Fm-3m
V	31.867	A^3/atom

a b c (Å): 5.649 5.649 5.649
angles (deg): 60.00 60.00 60.00
Fractional coordinates of all 4 atoms:
Sr 0.250 0.250 0.250
F 0.000 0.000 0.000
Ti 0.500 0.500 0.500
Sr 0.750 0.750 0.750


The computed energies, referenced to the most stable structure and given in meV/atom, are <A> 0; <B> 652.


<A>
# Sr2TlF

A geometry-optimized Sr2TlF structure (PBE, the Alexandria database).

size of the total moment	0.0	μB per formula unit
D(E_F)	0.63	states/eV per cell
space-group type	P4/mmm
V	28.198	A^3/atom

a b c (Å): 3.668 3.668 8.382
angles (deg): 90.00 90.00 90.00
Fractional coordinates of all 4 atoms:
Sr 0.000 0.000 0.230
Sr 0.000 0.000 0.770
F 0.500 0.500 0.000
Tl 0.500 0.500 0.500


<B>
# Sr2TlF

A geometry-optimized Sr2TlF structure (PBE, the Alexandria database).

size of the total moment	1.8	μB per formula unit
D(E_F)	3.09	states/eV per cell
space-group type	Fm-3m
V	30.968	A^3/atom

a b c (Å): 5.595 5.595 5.595
angles (deg): 60.00 60.00 60.00
Fractional coordinates of all 4 atoms:
Tl 0.500 0.500 0.500
Sr 0.250 0.250 0.250
Sr 0.750 0.750 0.750
F 0.000 0.000 0.000


<C>
# Sr2TlF

A geometry-optimized Sr2TlF structure (PBE, the Alexandria database).

size of the total moment	0.4	μB per formula unit
D(E_F)	2.71	states/eV per cell
space-group type	R-3m
V	34.174	A^3/atom

a b c (Å): 3.954 3.954 10.351
angles (deg): 78.99 78.99 60.00
Fractional coordinates of all 4 atoms:
Tl 0.000 0.000 0.000
Sr 0.890 0.890 0.331
F 0.500 0.500 0.500
Sr 0.110 0.110 0.669


The computed energies, referenced to the most stable structure and given in meV/atom, are <A> 0; <B> 208; <C> 132.


<A>
# SrTl3F

A geometry-optimized SrTl3F structure (PBE, the Alexandria database).

size of the total moment	0.0	μB per formula unit
D(E_F)	3.23	states/eV per cell
space-group type	Pm-3m
V	30.003	A^3/atom

a b c (Å): 5.313 5.313 5.313
angles (deg): 90.00 90.00 90.00
Fractional coordinates of all 5 atoms:
F 0.000 0.000 0.000
Tl 0.000 0.500 0.000
Tl 0.500 0.000 0.000
Sr 0.500 0.500 0.500
Tl 0.000 0.000 0.500


<B>
# SrTl3F

A geometry-optimized SrTl3F structure (PBE, the Alexandria database).

size of the total moment	1.4	μB per formula unit
D(E_F)	8.98	states/eV per cell
space-group type	Pm-3m
V	54.871	A^3/atom

a b c (Å): 6.498 6.498 6.498
angles (deg): 90.00 90.00 90.00
Fractional coordinates of all 5 atoms:
Tl 0.000 0.000 0.500
Sr 0.000 0.000 0.000
Tl 0.500 0.000 0.000
F 0.500 0.500 0.500
Tl 0.000 0.500 0.000


The computed energies, referenced to the most stable structure and given in meV/atom, are <A> 0; <B> 959.


<A>
# SrTl2F

A geometry-optimized SrTl2F structure (PBE, the Alexandria database).

size of the total moment	0.0	μB per formula unit
D(E_F)	2.29	states/eV per cell
space-group type	I-42d
V	29.446	A^3/atom

a b c (Å): 4.165 4.165 13.897
angles (deg): 81.38 81.38 90.00
Fractional coordinates of all 8 atoms:
Sr 0.000 0.000 0.000
Tl 0.375 0.374 0.750
F 0.250 0.750 0.500
F 0.500 0.500 0.000
Tl 0.875 0.876 0.750
Sr 0.750 0.250 0.500
Tl 0.626 0.125 0.250
Tl 0.124 0.625 0.250


<B>
# SrTl2F

A geometry-optimized SrTl2F structure (PBE, the Alexandria database).

size of the total moment	0.0	μB per formula unit
D(E_F)	4.65	states/eV per cell
space-group type	Fm-3m
V	28.457	A^3/atom

a b c (Å): 5.440 5.440 5.440
angles (deg): 60.00 60.00 60.00
Fractional coordinates of all 4 atoms:
Tl 0.750 0.750 0.750
F 0.000 0.000 0.000
Sr 0.500 0.500 0.500
Tl 0.250 0.250 0.250


The computed energies, referenced to the most stable structure and given in meV/atom, are <A> 0; <B> 536.